! FeHg2Pt (GGA-PBE, relaxed); values from VASP
! Calculated volume: 73 Å³ per cell
! Total moment: 3.2 μB per cell
! N(E_F): 0.782 states/eV per atom
! Energy: -14.612 eV for the cell shown
&SYSTEM
  ibrav = 0, nat = 4, ntyp = 3
/
ATOMIC_SPECIES
Fe 55.84 Fe.upf
Hg 200.59 Hg.upf
Pt 195.08 Pt.upf
CELL_PARAMETERS angstrom
2.958 0.000 0.000
0.000 2.958 0.000
0.000 0.000 8.382
ATOMIC_POSITIONS angstrom
Fe 0.000 0.000 0.000
Hg 0.000 0.000 4.641
Hg 1.479 1.479 1.976
Pt 1.479 1.479 6.815